5
Lattice="-2.7825 2.7825 3.8600 2.7825 -2.7825 3.8600 2.7825 2.7825 -3.8600" Properties=species:S:1:pos:R:3 comment="La2Ir2S (PBE, optimized geometry)" spacegroup="I4/mmm (139)" pbc="T T T"
La 2.7825 0.0000 1.9300
La 0.0000 2.7825 1.9300
Ir 0.0000 0.0000 1.2803
Ir 0.0000 0.0000 6.4398
S 0.0000 0.0000 3.8600

4
Lattice="2.0707 1.1955 7.1552 -2.0707 1.1955 7.1552 0.0000 -2.3911 7.1552" Properties=species:S:1:pos:R:3 comment="La2IrS (PBE, optimized geometry)" spacegroup="R-3m (166)" pbc="T T T"
La 0.0000 0.0000 5.2623
La 0.0000 0.0000 16.2034
Ir 0.0000 0.0000 10.7328
S 0.0000 0.0000 0.0000

4
Lattice="0.0000 3.3692 3.3692 3.3692 0.0000 3.3692 3.3692 3.3692 0.0000" Properties=species:S:1:pos:R:3 comment="LaIrS2 (PBE, optimized geometry)" spacegroup="Fm-3m (225)" relative_energy_ev_per_atom=0.3233 pbc="T T T"
La 0.0000 0.0000 0.0000
Ir 3.3692 3.3692 3.3692
S 1.6846 1.6846 1.6846
S 5.0537 5.0537 5.0537

5
Lattice="4.6936 0.0000 0.0000 0.0000 4.6936 0.0000 0.0000 0.0000 4.6936" Properties=species:S:1:pos:R:3 comment="LaIrS3 (PBE, optimized geometry)" spacegroup="Pm-3m (221)" relative_energy_ev_per_atom=0.0000 pbc="T T T"
La 0.0000 0.0000 0.0000
Ir 2.3468 2.3468 2.3468
S 0.0000 2.3468 2.3468
S 2.3468 0.0000 2.3468
S 2.3468 2.3468 0.0000

Number 1: formation energy without anion corrections -3.815 eV/f.u., Fermi-level density of states 0.146 states/eV/atom. Number 2: formation energy without anion corrections -5.566 eV/f.u., Fermi-level density of states 0.565 states/eV/atom. Number 3: formation energy without anion corrections -2.306 eV/f.u., Fermi-level density of states 0.936 states/eV/atom. Number 4: formation energy without anion corrections -3.918 eV/f.u., Fermi-level density of states 1.183 states/eV/atom.